This record from Alexandria describes Gd2ThIn after structural relaxation. The functional is GGA-PBE.

Unit cell a=3.545 b=3.545 c=12.195 alpha=81.64 beta=81.64 gamma=60.00
Positions (direct):
Gd: 0.911 0.911 0.268
Gd: 0.089 0.089 0.732
Th: 0.500 0.500 0.500
In: 0.000 0.000 0.000

Summary:
energy relative to the lowest polymorph listed for this composition = 327 meV/atom
space group = R-3m, No. 166
calculated formation energy = 88 meV per atom